Model P:
DFT (PBE-GGA) results for crystalline CePuSnAu at its relaxed geometry.

Cell and atoms, written as POSCAR:
```
CePuSnAu
1.0
4.075 0.000 0.000
0.000 4.075 0.000
0.000 0.000 6.074
Ce Pu Sn Au
1 1 1 1
direct
0.000 0.000 0.000
0.000 0.000 0.495
0.500 0.500 0.254
0.500 0.500 0.749
```

Model Q:
DFT (PBE-GGA) results for crystalline CePuSnAu at its relaxed geometry.

Cell and atoms, written as POSCAR:
```
CePuSnAu
1.0
0.000 3.760 3.760
3.760 0.000 3.760
3.760 3.760 0.000
Ce Pu Sn Au
1 1 1 1
direct
0.000 0.000 0.000
0.500 0.500 0.500
0.750 0.750 0.750
0.250 0.250 0.250
```

Short version: model Q is the least stable of them.

Model P:
DFT (PBE-GGA) results for crystalline CePuZnAu at its relaxed geometry.

Cell and atoms, written as POSCAR:
```
CePuZnAu
1.0
-2.464 2.464 3.501
2.464 -2.464 3.501
2.464 2.464 -3.501
Ce Pu Zn Au
1 1 1 1
direct
0.000 0.000 0.000
0.750 0.250 0.500
0.250 0.750 0.500
0.500 0.500 0.000
```

Model Q:
DFT (PBE-GGA) results for crystalline CePuZnAu at its relaxed geometry.

Cell and atoms, written as POSCAR:
```
CePuZnAu
1.0
0.000 3.641 3.641
3.641 0.000 3.641
3.641 3.641 0.000
Ce Pu Zn Au
1 1 1 1
direct
0.000 0.000 0.000
0.500 0.500 0.500
0.250 0.250 0.250
0.750 0.750 0.750
```

Short version: model Q is the least stable of them.

Model P:
DFT (PBE-GGA) results for crystalline Ce2ReAu at its relaxed geometry.

Cell and atoms, written as POSCAR:
```
Ce2ReAu
1.0
3.406 0.000 0.000
0.000 3.406 0.000
0.000 0.000 7.830
Ce Re Au
2 1 1
direct
0.000 0.000 0.225
0.000 0.000 0.775
0.500 0.500 0.000
0.500 0.500 0.500
```

Model Q:
DFT (PBE-GGA) results for crystalline Ce2ReAu at its relaxed geometry.

Cell and atoms, written as POSCAR:
```
Ce2ReAu
1.0
2.525 1.458 4.105
-2.525 1.458 4.105
0.000 -2.916 4.105
Ce Re Au
2 1 1
direct
0.249 0.249 0.249
0.751 0.751 0.751
0.000 0.000 0.000
0.500 0.500 0.500
```

Short version: model Q is the least stable of them.